# DyScNi4 PBE-GGA optimized geometry
data_DyScNi4
_cell_length_a 7.0412
_cell_length_b 7.0412
_cell_length_c 7.0412
_cell_angle_alpha 90.00
_cell_angle_beta 90.00
_cell_angle_gamma 90.00
_symmetry_space_group_name_H-M 'F -4 3 m'
_symmetry_Int_Tables_number 216
_symmetry_space_group_name_Hall 'F -4 2 3'
loop_
_atom_site_label
_atom_site_type_symbol
_atom_site_fract_x
_atom_site_fract_y
_atom_site_fract_z
_atom_site_occupancy
Dy1 Dy 0.0000 0.0000 0.0000 1
Sc1 Sc 0.2500 0.2500 0.7500 1
Ni1 Ni 0.1245 0.1245 0.3755 1
# Density of states at the Fermi level = 3.86 states/eV/f.u.
# E_form = -2.87 eV per formula unit
# V = 349.09 Å³/cell

# Sr4GaSn3 PBE-GGA optimized geometry
data_Sr4GaSn3
_cell_length_a 4.5624
_cell_length_b 4.9954
_cell_length_c 12.0841
_cell_angle_alpha 90.00
_cell_angle_beta 90.00
_cell_angle_gamma 90.00
_symmetry_space_group_name_H-M 'P m m 2'
_symmetry_Int_Tables_number 25
loop_
_symmetry_equiv_pos_as_xyz
'x,y,z'
'-x,-y,z'
'-x,y,z'
'x,-y,z'
loop_
_atom_site_label
_atom_site_type_symbol
_atom_site_fract_x
_atom_site_fract_y
_atom_site_fract_z
_atom_site_occupancy
Sr1 Sr 0.0000 0.0000 0.0000 1
Sr2 Sr 0.0000 0.5000 0.4909 1
Sr3 Sr 0.5000 0.0000 0.7191 1
Sr4 Sr 0.5000 0.5000 0.2234 1
Ga1 Ga 0.0000 0.0000 0.2822 1
Sn1 Sn 0.0000 0.5000 0.7802 1
Sn2 Sn 0.5000 0.0000 0.4283 1
Sn3 Sn 0.5000 0.5000 0.9365 1
# Density of states at the Fermi level = 3.33 states/eV/f.u.
# E_form = -5.03 eV per formula unit
# V = 275.41 Å³/cell

# LiBe2Au2 PBE-GGA optimized geometry
data_LiBe2Au2
_cell_length_a 6.9716
_cell_length_b 6.9716
_cell_length_c 2.8200
_cell_angle_alpha 90.00
_cell_angle_beta 90.00
_cell_angle_gamma 90.00
_symmetry_space_group_name_H-M 'P 4/m b m'
_symmetry_Int_Tables_number 127
_symmetry_space_group_name_Hall '-P 4 2ab'
loop_
_atom_site_label
_atom_site_type_symbol
_atom_site_fract_x
_atom_site_fract_y
_atom_site_fract_z
_atom_site_occupancy
Li1 Li 0.0000 0.0000 0.0000 1
Be1 Be 0.1368 0.3632 0.5000 1
Au1 Au 0.1592 0.6592 0.0000 1
# Density of states at the Fermi level = 1.51 states/eV/f.u.
# E_form = -1.23 eV per formula unit
# Energy above the most stable polymorph in this dataset = 63 meV/atom
# V = 137.06 Å³/cell

# PrCo2C2 PBE-GGA optimized geometry
data_PrCo2C2
_cell_length_a 5.8931
_cell_length_b 8.9072
_cell_length_c 9.0890
_cell_angle_alpha 90.00
_cell_angle_beta 90.00
_cell_angle_gamma 90.00
_symmetry_space_group_name_H-M 'F d d d'
_symmetry_Int_Tables_number 70
loop_
_symmetry_equiv_pos_as_xyz
'x,y,z'
'-x,-y,-z'
'-x+1/4,-y+1/4,z'
'x+1/4,y+1/4,-z'
'x,-y+1/4,-z+1/4'
'-x,y+1/4,z+1/4'
'-x+1/4,y,-z+1/4'
'x+1/4,-y,z+1/4'
'x,y+1/2,z+1/2'
'-x,-y+1/2,-z+1/2'
'-x+1/4,-y+3/4,z+1/2'
'x+1/4,y+3/4,-z+1/2'
'x,-y+3/4,-z+3/4'
'-x,y+3/4,z+3/4'
'-x+1/4,y+1/2,-z+3/4'
'x+1/4,-y+1/2,z+3/4'
'x+1/2,y,z+1/2'
'-x+1/2,-y,-z+1/2'
'-x+3/4,-y+1/4,z+1/2'
'x+3/4,y+1/4,-z+1/2'
'x+1/2,-y+1/4,-z+3/4'
'-x+1/2,y+1/4,z+3/4'
'-x+3/4,y,-z+3/4'
'x+3/4,-y,z+3/4'
'x+1/2,y+1/2,z'
'-x+1/2,-y+1/2,-z'
'-x+3/4,-y+3/4,z'
'x+3/4,y+3/4,-z'
'x+1/2,-y+3/4,-z+1/4'
'-x+1/2,y+3/4,z+1/4'
'-x+3/4,y+1/2,-z+1/4'
'x+3/4,-y+1/2,z+1/4'
loop_
_atom_site_label
_atom_site_type_symbol
_atom_site_fract_x
_atom_site_fract_y
_atom_site_fract_z
_atom_site_occupancy
Pr1 Pr 0.1250 0.1250 0.1250 1
Co1 Co 0.1250 0.1250 0.4915 1
C1 C 0.1250 0.3036 0.6250 1
# Density of states at the Fermi level = 3.61 states/eV/f.u.
# E_form = -0.45 eV per formula unit
# Energy above the most stable polymorph in this dataset = 22 meV/atom
# V = 477.09 Å³/cell

# Ba6As2PdI3 PBE-GGA optimized geometry
data_Ba6As2PdI3
_cell_length_a 8.3284
_cell_length_b 14.4333
_cell_length_c 8.8506
_cell_angle_alpha 90.00
_cell_angle_beta 108.27
_cell_angle_gamma 90.00
_symmetry_space_group_name_H-M 'C 1 2/m 1'
_symmetry_Int_Tables_number 12
loop_
_symmetry_equiv_pos_as_xyz
'x,y,z'
'-x,-y,-z'
'-x,y,-z'
'x,-y,z'
'x+1/2,y+1/2,z'
'-x+1/2,-y+1/2,-z'
'-x+1/2,y+1/2,-z'
'x+1/2,-y+1/2,z'
loop_
_atom_site_label
_atom_site_type_symbol
_atom_site_fract_x
_atom_site_fract_y
_atom_site_fract_z
_atom_site_occupancy
Ba1 Ba 0.2349 0.0000 0.2057 1
Ba2 Ba 0.2367 0.3325 0.2065 1
As1 As 0.0000 0.1664 0.0000 1
Pd1 Pd 0.0000 0.5000 0.0000 1
I1 I 0.0000 0.0000 0.5000 1
I2 I 0.0000 0.3319 0.5000 1
# Formation energy from raw total energies = -124 kJ per mole of atoms
# Density of states at the Fermi level = 6.85 states/eV/f.u.
# V = 1010.29 Å³/cell

# CePmTe PBE-GGA optimized geometry
data_CePmTe
_cell_length_a 4.1728
_cell_length_b 4.3971
_cell_length_c 10.2092
_cell_angle_alpha 90.00
_cell_angle_beta 94.53
_cell_angle_gamma 90.00
_symmetry_space_group_name_H-M 'P 1 21/m 1'
_symmetry_Int_Tables_number 11
loop_
_symmetry_equiv_pos_as_xyz
'x,y,z'
'-x,-y,-z'
'-x,y+1/2,-z'
'x,-y+1/2,z'
loop_
_atom_site_label
_atom_site_type_symbol
_atom_site_fract_x
_atom_site_fract_y
_atom_site_fract_z
_atom_site_occupancy
Ce1 Ce 0.1604 0.2500 0.0547 1
Pm1 Pm 0.2928 0.2500 0.7047 1
Te1 Te 0.2214 0.2500 0.3735 1
# Formation energy from raw total energies = -80 kJ per mole of atoms
# Density of states at the Fermi level = 3.97 states/eV/f.u.
# Energy above the most stable polymorph in this dataset = 133 meV/atom
# V = 186.73 Å³/cell

# ThFe2Co9 PBE-GGA optimized geometry
data_ThFe2Co9
_cell_length_a 8.1060
_cell_length_b 8.1060
_cell_length_c 4.6641
_cell_angle_alpha 90.00
_cell_angle_beta 90.00
_cell_angle_gamma 90.00
_symmetry_space_group_name_H-M 'P 4/m b m'
_symmetry_Int_Tables_number 127
_symmetry_space_group_name_Hall '-P 4 2ab'
loop_
_atom_site_label
_atom_site_type_symbol
_atom_site_fract_x
_atom_site_fract_y
_atom_site_fract_z
_atom_site_occupancy
Th1 Th 0.0000 0.0000 0.0000 1
Fe1 Fe 0.1140 0.3860 0.0000 1
Co1 Co 0.0000 0.5000 0.5000 1
Co2 Co 0.0663 0.2155 0.5000 1
Co3 Co 0.1781 0.6781 0.2370 1
# Density of states at the Fermi level = 14.40 states/eV/f.u.
# E_form = -0.99 eV per formula unit
# V = 306.46 Å³/cell

# PmGd2I PBE-GGA optimized geometry
data_PmGd2I
_cell_length_a 3.7866
_cell_length_b 3.7866
_cell_length_c 31.8716
_cell_angle_alpha 90.00
_cell_angle_beta 90.00
_cell_angle_gamma 120.00
_symmetry_space_group_name_H-M 'R -3 m'
_symmetry_Int_Tables_number 166
_symmetry_space_group_name_Hall '-R 3 2"'
loop_
_atom_site_label
_atom_site_type_symbol
_atom_site_fract_x
_atom_site_fract_y
_atom_site_fract_z
_atom_site_occupancy
Pm1 Pm 0.0000 0.0000 0.0000 1
Gd1 Gd 0.0000 0.0000 0.2447 1
I1 I 0.0000 0.0000 0.5000 1
# Formation energy from raw total energies = -37 kJ per mole of atoms
# Density of states at the Fermi level = 6.46 states/eV/f.u.
# Energy above the most stable polymorph in this dataset = 0 meV/atom
# V = 395.76 Å³/cell

# Ac2Ga3NiPt4 PBE-GGA optimized geometry
data_Ac2Ga3NiPt4
_cell_length_a 4.4124
_cell_length_b 4.4124
_cell_length_c 10.4319
_cell_angle_alpha 90.00
_cell_angle_beta 90.00
_cell_angle_gamma 90.00
_symmetry_space_group_name_H-M 'P -4 m 2'
_symmetry_Int_Tables_number 115
loop_
_symmetry_equiv_pos_as_xyz
'x,y,z'
'y,-x,-z'
'-x,-y,z'
'-y,x,-z'
'-x,y,z'
'-y,-x,-z'
'x,-y,z'
'y,x,-z'
loop_
_atom_site_label
_atom_site_type_symbol
_atom_site_fract_x
_atom_site_fract_y
_atom_site_fract_z
_atom_site_occupancy
Ac1 Ac 0.0000 0.5000 0.2429 1
Ga1 Ga 0.0000 0.0000 0.0000 1
Ga2 Ga 0.0000 0.5000 0.6251 1
Ni1 Ni 0.5000 0.5000 0.0000 1
Pt1 Pt 0.0000 0.0000 0.5000 1
Pt2 Pt 0.0000 0.5000 0.8689 1
Pt3 Pt 0.5000 0.5000 0.5000 1
# Density of states at the Fermi level = 6.28 states/eV/f.u.
# E_form = -8.68 eV per formula unit
# V = 203.10 Å³/cell

# MgMnCd4 PBE-GGA optimized geometry
data_MgMnCd4
_cell_length_a 8.0436
_cell_length_b 8.0436
_cell_length_c 8.0436
_cell_angle_alpha 90.00
_cell_angle_beta 90.00
_cell_angle_gamma 90.00
_symmetry_space_group_name_H-M 'F -4 3 m'
_symmetry_Int_Tables_number 216
_symmetry_space_group_name_Hall 'F -4 2 3'
loop_
_atom_site_label
_atom_site_type_symbol
_atom_site_fract_x
_atom_site_fract_y
_atom_site_fract_z
_atom_site_occupancy
Mg1 Mg 0.0000 0.0000 0.0000 1
Mn1 Mn 0.2500 0.2500 0.7500 1
Cd1 Cd 0.1246 0.1246 0.3754 1
# Density of states at the Fermi level = 2.54 states/eV/f.u.
# E_form = 1.34 eV per formula unit
# V = 520.42 Å³/cell

# SmEr6Tm12 PBE-GGA optimized geometry
data_SmEr6Tm12
_cell_length_a 14.7251
_cell_length_b 14.7251
_cell_length_c 10.1947
_cell_angle_alpha 90.00
_cell_angle_beta 90.00
_cell_angle_gamma 120.00
_symmetry_space_group_name_H-M 'R -3 m'
_symmetry_Int_Tables_number 166
_symmetry_space_group_name_Hall '-R 3 2"'
loop_
_atom_site_label
_atom_site_type_symbol
_atom_site_fract_x
_atom_site_fract_y
_atom_site_fract_z
_atom_site_occupancy
Sm1 Sm 0.0000 0.0000 0.0000 1
Er1 Er 0.0637 0.5318 0.2199 1
Tm1 Tm 0.0000 0.3879 0.5000 1
Tm2 Tm 0.0765 0.1530 0.2701 1
# Density of states at the Fermi level = 30.13 states/eV/f.u.
# E_form = 8.50 eV per formula unit
# Energy above the most stable polymorph in this dataset = 282 meV/atom
# V = 1914.36 Å³/cell

# Cs19W12N30 PBE-GGA optimized geometry
data_Cs19W12N30
_cell_length_a 13.3460
_cell_length_b 13.3460
_cell_length_c 28.7822
_cell_angle_alpha 90.00
_cell_angle_beta 90.00
_cell_angle_gamma 120.00
_symmetry_space_group_name_H-M 'R -3'
_symmetry_Int_Tables_number 148
_symmetry_space_group_name_Hall '-R 3'
loop_
_atom_site_label
_atom_site_type_symbol
_atom_site_fract_x
_atom_site_fract_y
_atom_site_fract_z
_atom_site_occupancy
Cs1 Cs 0.0000 0.0000 0.0000 1
Cs2 Cs 0.0061 0.8310 0.2497 1
Cs3 Cs 0.0527 0.8432 0.3931 1
Cs4 Cs 0.0539 0.2225 0.8903 1
W1 W 0.0218 0.4386 0.6833 1
W2 W 0.0262 0.5844 0.1850 1
N1 N 0.0070 0.5831 0.2513 1
N2 N 0.0106 0.7858 0.6808 1
N3 N 0.0120 0.2258 0.1769 1
N4 N 0.0667 0.4710 0.1674 1
N5 N 0.0688 0.5958 0.6667 1
# Formation energy from raw total energies = -50 kJ per mole of atoms
# Density of states at the Fermi level = 7.08 states/eV/f.u.
# V = 4439.74 Å³/cell

# La12TmCo7 PBE-GGA optimized geometry
data_La12TmCo7
_cell_length_a 14.3242
_cell_length_b 14.3242
_cell_length_c 9.7481
_cell_angle_alpha 90.00
_cell_angle_beta 90.00
_cell_angle_gamma 120.00
_symmetry_space_group_name_H-M 'R -3'
_symmetry_Int_Tables_number 148
_symmetry_space_group_name_Hall '-R 3'
loop_
_atom_site_label
_atom_site_type_symbol
_atom_site_fract_x
_atom_site_fract_y
_atom_site_fract_z
_atom_site_occupancy
La1 La 0.0236 0.4397 0.1603 1
La2 La 0.0481 0.8779 0.8242 1
Tm1 Tm 0.0000 0.0000 0.5000 1
Co1 Co 0.0000 0.0000 0.0000 1
Co2 Co 0.0426 0.8561 0.3362 1
# Density of states at the Fermi level = 17.17 states/eV/f.u.
# E_form = -1.98 eV per formula unit
# V = 1732.16 Å³/cell

# Li2PRu PBE-GGA optimized geometry
data_Li2PRu
_cell_length_a 3.4659
_cell_length_b 3.4659
_cell_length_c 18.2387
_cell_angle_alpha 90.00
_cell_angle_beta 90.00
_cell_angle_gamma 90.00
_symmetry_space_group_name_H-M 'I -4 2 d'
_symmetry_Int_Tables_number 122
_symmetry_space_group_name_Hall 'I -4 2bw'
loop_
_atom_site_label
_atom_site_type_symbol
_atom_site_fract_x
_atom_site_fract_y
_atom_site_fract_z
_atom_site_occupancy
Li1 Li 0.2390 0.2500 0.1250 1
P1 P 0.0000 0.0000 0.0000 1
Ru1 Ru 0.0000 0.0000 0.5000 1
# Density of states at the Fermi level = 3.15 states/eV/f.u.
# E_form = -0.19 eV per formula unit
# V = 219.10 Å³/cell

# TbPaTcOs PBE-GGA optimized geometry
data_TbPaTcOs
_cell_length_a 6.8826
_cell_length_b 6.8826
_cell_length_c 6.8826
_cell_angle_alpha 90.00
_cell_angle_beta 90.00
_cell_angle_gamma 90.00
_symmetry_space_group_name_H-M 'F -4 3 m'
_symmetry_Int_Tables_number 216
_symmetry_space_group_name_Hall 'F -4 2 3'
loop_
_atom_site_label
_atom_site_type_symbol
_atom_site_fract_x
_atom_site_fract_y
_atom_site_fract_z
_atom_site_occupancy
Tb1 Tb 0.0000 0.0000 0.0000 1
Pa1 Pa 0.0000 0.0000 0.5000 1
Tc1 Tc 0.2500 0.2500 0.7500 1
Os1 Os 0.2500 0.2500 0.2500 1
# Density of states at the Fermi level = 3.42 states/eV/f.u.
# E_form = -0.71 eV per formula unit
# V = 326.03 Å³/cell

# ZrTeAs2 PBE-GGA optimized geometry
data_ZrTeAs2
_cell_length_a 3.5559
_cell_length_b 3.5559
_cell_length_c 25.4184
_cell_angle_alpha 90.00
_cell_angle_beta 90.00
_cell_angle_gamma 120.00
_symmetry_space_group_name_H-M 'R -3 m'
_symmetry_Int_Tables_number 166
_symmetry_space_group_name_Hall '-R 3 2"'
loop_
_atom_site_label
_atom_site_type_symbol
_atom_site_fract_x
_atom_site_fract_y
_atom_site_fract_z
_atom_site_occupancy
Zr1 Zr 0.0000 0.0000 0.0000 1
Te1 Te 0.0000 0.0000 0.5000 1
As1 As 0.0000 0.0000 0.2621 1
# Formation energy from raw total energies = -12 kJ per mole of atoms
# Density of states at the Fermi level = 3.15 states/eV/f.u.
# V = 278.35 Å³/cell

# TlCo2Sb PBE-GGA optimized geometry
data_TlCo2Sb
_cell_length_a 3.9504
_cell_length_b 3.9504
_cell_length_c 18.4784
_cell_angle_alpha 90.00
_cell_angle_beta 90.00
_cell_angle_gamma 120.00
_symmetry_space_group_name_H-M 'R 3 m'
_symmetry_Int_Tables_number 160
_symmetry_space_group_name_Hall 'R 3 -2"'
loop_
_atom_site_label
_atom_site_type_symbol
_atom_site_fract_x
_atom_site_fract_y
_atom_site_fract_z
_atom_site_occupancy
Tl1 Tl 0.0000 0.0000 0.0000 1
Co1 Co 0.0000 0.0000 0.4523 1
Co2 Co 0.0000 0.0000 0.7704 1
Sb1 Sb 0.0000 0.0000 0.1887 1
# Formation energy from raw total energies = 24 kJ per mole of atoms
# Density of states at the Fermi level = 3.41 states/eV/f.u.
# Energy above the most stable polymorph in this dataset = 0 meV/atom
# V = 249.73 Å³/cell

# NiHgSb2 PBE-GGA optimized geometry
data_NiHgSb2
_cell_length_a 6.0416
_cell_length_b 7.0734
_cell_length_c 5.3414
_cell_angle_alpha 90.00
_cell_angle_beta 124.16
_cell_angle_gamma 90.00
_symmetry_space_group_name_H-M 'C 1 2/m 1'
_symmetry_Int_Tables_number 12
loop_
_symmetry_equiv_pos_as_xyz
'x,y,z'
'-x,-y,-z'
'-x,y,-z'
'x,-y,z'
'x+1/2,y+1/2,z'
'-x+1/2,-y+1/2,-z'
'-x+1/2,y+1/2,-z'
'x+1/2,-y+1/2,z'
loop_
_atom_site_label
_atom_site_type_symbol
_atom_site_fract_x
_atom_site_fract_y
_atom_site_fract_z
_atom_site_occupancy
Ni1 Ni 0.0000 0.0000 0.0000 1
Hg1 Hg 0.0000 0.5000 0.0000 1
Sb1 Sb 0.2500 0.2500 0.5000 1
# Formation energy from raw total energies = 31 kJ per mole of atoms
# Density of states at the Fermi level = 3.17 states/eV/f.u.
# V = 188.88 Å³/cell

# Ti2Al2Rh PBE-GGA optimized geometry
data_Ti2Al2Rh
_cell_length_a 6.4530
_cell_length_b 6.4530
_cell_length_c 3.8484
_cell_angle_alpha 90.00
_cell_angle_beta 90.00
_cell_angle_gamma 90.00
_symmetry_space_group_name_H-M 'P 4/m b m'
_symmetry_Int_Tables_number 127
_symmetry_space_group_name_Hall '-P 4 2ab'
loop_
_atom_site_label
_atom_site_type_symbol
_atom_site_fract_x
_atom_site_fract_y
_atom_site_fract_z
_atom_site_occupancy
Ti1 Ti 0.1636 0.3364 0.0000 1
Al1 Al 0.1398 0.6398 0.5000 1
Rh1 Rh 0.0000 0.0000 0.5000 1
# Density of states at the Fermi level = 4.71 states/eV/f.u.
# E_form = -2.39 eV per formula unit
# V = 160.25 Å³/cell

# Ca2NiH2 PBE-GGA optimized geometry
data_Ca2NiH2
_cell_length_a 3.6162
_cell_length_b 3.6162
_cell_length_c 12.4647
_cell_angle_alpha 90.00
_cell_angle_beta 90.00
_cell_angle_gamma 90.00
_symmetry_space_group_name_H-M 'I 4/m m m'
_symmetry_Int_Tables_number 139
_symmetry_space_group_name_Hall '-I 4 2'
loop_
_atom_site_label
_atom_site_type_symbol
_atom_site_fract_x
_atom_site_fract_y
_atom_site_fract_z
_atom_site_occupancy
Ca1 Ca 0.0000 0.0000 0.1425 1
Ni1 Ni 0.0000 0.0000 0.5000 1
H1 H 0.0000 0.5000 0.2500 1
# Density of states at the Fermi level = 0.75 states/eV/f.u.
# Energy above the most stable polymorph in this dataset = 0 meV/atom
# V = 163.00 Å³/cell